Ho2TiSn | PBE | relaxed

Density   8.3 g/cm³
Raw total energy   -5.52 eV per atom
Spin magnetization   2.70 μB/f.u.
DFT formation energy   -0.26 eV per atom

a b c (Å): 4.816 4.816 4.303
angles (deg): 90.00 90.00 90.00
Space group P4/mmm (No. 123)
One atom of each set of equivalent atoms:
Ho 0.000 0.500 0.000 [2 per cell]
Ti 0.000 0.000 0.500 [1 per cell]
Sn 0.500 0.500 0.500 [1 per cell]